{
  "formula": "NaVRh2",
  "functional": "PBE",
  "state": "optimized geometry",
  "formation_energy_ev_per_atom": 0.267,
  "space_group": "I-42d",
  "magmom_total_mub_per_fu": 0.00,
  "lattice": [[-5.6780, -2.6130, 2.9524], [2.6732, -6.3563, -0.4846], [-0.3128, -4.1794, 3.7918]],
  "species": ["V", "V", "Rh", "Rh", "Rh", "Na", "Na", "Rh"],
  "fractional_positions": [[0.0000, 0.0000, 0.0000], [0.7500, 0.2500, 0.5000], [0.3750, 0.3249, 0.7500], [0.0749, 0.6250, 0.2500], [0.6751, 0.1250, 0.2500], [0.5000, 0.5000, 0.0000], [0.2500, 0.7500, 0.5000], [0.8750, 0.9251, 0.7500]]
}


{
  "formula": "NaVRh3",
  "functional": "PBE",
  "state": "optimized geometry",
  "formation_energy_ev_per_atom": 0.490,
  "space_group": "Pm-3m",
  "magmom_total_mub_per_fu": 0.00,
  "e_above_lowest_polymorph_ev_per_atom": 0.000,
  "lattice": [[4.5461, 0.0000, 0.0000], [0.0000, 4.5461, 0.0000], [0.0000, 0.0000, 4.5461]],
  "species": ["Rh", "Rh", "Rh", "V", "Na"],
  "fractional_positions": [[0.0000, 0.0000, 0.5000], [0.0000, 0.5000, 0.0000], [0.5000, 0.0000, 0.0000], [0.0000, 0.0000, 0.0000], [0.5000, 0.5000, 0.5000]]
}


{
  "formula": "Na2VRh",
  "functional": "PBE",
  "state": "optimized geometry",
  "formation_energy_ev_per_atom": 0.942,
  "space_group": "Fm-3m",
  "magmom_total_mub_per_fu": 3.33,
  "e_above_lowest_polymorph_ev_per_atom": 0.134,
  "lattice": [[1.8148, 1.3322, 4.2106], [-2.7671, 0.0279, 3.8910], [0.6829, -3.2417, 3.4384]],
  "species": ["Na", "Na", "Rh", "V"],
  "fractional_positions": [[0.2500, 0.2500, 0.2500], [0.7500, 0.7500, 0.7500], [0.5000, 0.5000, 0.5000], [0.0000, 0.0000, 0.0000]]
}


{
  "formula": "NaZrV2Rh",
  "functional": "PBE",
  "state": "optimized geometry",
  "formation_energy_ev_per_atom": 0.955,
  "space_group": "P4/mmm",
  "magmom_total_mub_per_fu": 3.61,
  "lattice": [[-1.6011, -3.9378, -1.8538], [1.4348, -2.4500, 3.9650], [-4.1329, 0.7564, 1.9630]],
  "species": ["V", "Na", "V", "Rh", "Zr"],
  "fractional_positions": [[0.0000, 0.0000, 0.5000], [0.0000, 0.5000, 0.0000], [0.5000, 0.0000, 0.0000], [0.0000, 0.0000, 0.0000], [0.5000, 0.5000, 0.5000]]
}


{
  "formula": "NaRh2W",
  "functional": "PBE",
  "state": "optimized geometry",
  "formation_energy_ev_per_atom": 0.586,
  "space_group": "I-42d",
  "magmom_total_mub_per_fu": 0.00,
  "e_above_lowest_polymorph_ev_per_atom": 0.299,
  "lattice": [[7.0897, 0.0000, 0.0000], [0.0000, 7.0897, 0.0000], [3.5449, 3.5449, 2.9019]],
  "species": ["Rh", "Na", "Rh", "W", "Na", "Rh", "Rh", "W"],
  "fractional_positions": [[0.3750, 0.3330, 0.7500], [0.2500, 0.7500, 0.5000], [0.8750, 0.9170, 0.7500], [0.0000, 0.0000, 0.0000], [0.5000, 0.5000, 0.0000], [0.0830, 0.6250, 0.2500], [0.6670, 0.1250, 0.2500], [0.7500, 0.2500, 0.5000]]
}


{
  "formula": "NaRh2W",
  "functional": "PBE",
  "state": "optimized geometry",
  "formation_energy_ev_per_atom": 0.288,
  "space_group": "Fm-3m",
  "magmom_total_mub_per_fu": 0.00,
  "e_above_lowest_polymorph_ev_per_atom": 0.000,
  "lattice": [[0.0000, 3.1246, 3.1246], [3.1246, 0.0000, 3.1246], [3.1246, 3.1246, 0.0000]],
  "species": ["Rh", "Rh", "Na", "W"],
  "fractional_positions": [[0.2500, 0.2500, 0.2500], [0.7500, 0.7500, 0.7500], [0.0000, 0.0000, 0.0000], [0.5000, 0.5000, 0.5000]]
}


{
  "formula": "NaRhW3",
  "functional": "PBE",
  "state": "optimized geometry",
  "formation_energy_ev_per_atom": 2.036,
  "space_group": "Pm-3m",
  "magmom_total_mub_per_fu": 0.00,
  "lattice": [[4.7855, 0.0000, 0.0000], [0.0000, 4.7855, 0.0000], [0.0000, 0.0000, 4.7855]],
  "species": ["Na", "W", "W", "W", "Rh"],
  "fractional_positions": [[0.5000, 0.5000, 0.5000], [0.0000, 0.0000, 0.5000], [0.0000, 0.5000, 0.0000], [0.5000, 0.0000, 0.0000], [0.0000, 0.0000, 0.0000]]
}


{
  "formula": "Na2RhW",
  "functional": "PBE",
  "state": "optimized geometry",
  "formation_energy_ev_per_atom": 1.546,
  "space_group": "Fm-3m",
  "magmom_total_mub_per_fu": 3.41,
  "e_above_lowest_polymorph_ev_per_atom": 0.206,
  "lattice": [[4.0721, -1.8632, -1.5742], [1.5544, -4.1290, 1.7514], [-0.0636, -3.9000, -2.7052]],
  "species": ["Na", "Na", "Rh", "W"],
  "fractional_positions": [[0.7500, 0.7500, 0.7500], [0.2500, 0.2500, 0.2500], [0.0000, 0.0000, 0.0000], [0.5000, 0.5000, 0.5000]]
}


{
  "formula": "Na2RhW2",
  "functional": "PBE",
  "state": "optimized geometry",
  "formation_energy_ev_per_atom": 1.173,
  "space_group": "I4/mmm",
  "magmom_total_mub_per_fu": 0.00,
  "lattice": [[-1.4496, 1.8891, -2.6077], [-1.9594, -2.7868, -0.9297], [-7.3828, 1.9184, 3.1027]],
  "species": ["Na", "Rh", "W", "Na", "W"],
  "fractional_positions": [[0.7500, 0.2500, 0.5000], [0.0000, 0.0000, 0.0000], [0.5733, 0.5733, 0.8534], [0.2500, 0.7500, 0.5000], [0.4267, 0.4267, 0.1466]]
}


{
  "formula": "Na3RhW",
  "functional": "PBE",
  "state": "optimized geometry",
  "formation_energy_ev_per_atom": 1.996,
  "space_group": "Pm-3m",
  "magmom_total_mub_per_fu": 0.96,
  "e_above_lowest_polymorph_ev_per_atom": 0.000,
  "lattice": [[5.1487, 0.0000, 0.0000], [0.0000, 5.1487, 0.0000], [0.0000, 0.0000, 5.1487]],
  "species": ["Na", "Na", "Na", "W", "Rh"],
  "fractional_positions": [[0.0000, 0.0000, 0.5000], [0.5000, 0.0000, 0.0000], [0.0000, 0.5000, 0.0000], [0.5000, 0.5000, 0.5000], [0.0000, 0.0000, 0.0000]]
}


{
  "formula": "Na3RhW",
  "functional": "PBE",
  "state": "optimized geometry",
  "formation_energy_ev_per_atom": 2.124,
  "space_group": "Pm-3m",
  "magmom_total_mub_per_fu": 6.04,
  "e_above_lowest_polymorph_ev_per_atom": 0.128,
  "lattice": [[5.6784, 0.0000, 0.0000], [0.0000, 5.6784, 0.0000], [0.0000, 0.0000, 5.6784]],
  "species": ["Na", "Na", "W", "Na", "Rh"],
  "fractional_positions": [[0.0000, 0.0000, 0.5000], [0.5000, 0.0000, 0.0000], [0.0000, 0.0000, 0.0000], [0.0000, 0.5000, 0.0000], [0.5000, 0.5000, 0.5000]]
}


{
  "formula": "Na2RhW",
  "functional": "PBE",
  "state": "optimized geometry",
  "formation_energy_ev_per_atom": 1.340,
  "space_group": "I-42d",
  "magmom_total_mub_per_fu": 2.72,
  "e_above_lowest_polymorph_ev_per_atom": 0.000,
  "lattice": [[8.3985, 0.0000, 0.0000], [0.0000, 8.3985, 0.0000], [4.1992, 4.1992, 2.4559]],
  "species": ["Na", "Rh", "Rh", "Na", "W", "Na", "W", "Na"],
  "fractional_positions": [[0.8750, 0.8344, 0.7500], [0.2500, 0.7500, 0.5000], [0.5000, 0.5000, 0.0000], [0.1656, 0.6250, 0.2500], [0.7500, 0.2500, 0.5000], [0.3750, 0.4156, 0.7500], [0.0000, 0.0000, 0.0000], [0.5844, 0.1250, 0.2500]]
}


| no. | total energy (eV per atom) | N(E_F) (states/eV per cell) |
| --- | --- | --- |
| 1 | -6.018 | 2.72 |
| 2 | -6.008 | 4.43 |
| 3 | -3.835 | 8.61 |
| 4 | -6.136 | 7.05 |
| 5 | -6.658 | 4.10 |
| 6 | -6.956 | 4.40 |
| 7 | -7.470 | 6.75 |
| 8 | -4.190 | 3.67 |
| 9 | -6.006 | 4.95 |
| 10 | -2.856 | 10.51 |
| 11 | -2.728 | 4.52 |
| 12 | -4.396 | 7.59 |